BeCrBi3 | the Alexandria database | PBE-GGA | relaxed; distance to the lowest polymorph of the same formula = 0 meV/atom; M_tot = 1.65 μB/cell; E = -4.055 eV/atom; energy of formation from the pure elements = 0.94 eV/atom
1.0
5.212 0.000 0.000
0.000 5.212 0.000
0.000 0.000 5.212
Be Cr Bi
1 1 3
Direct
0.000 0.000 0.000 Be
0.500 0.500 0.500 Cr
0.000 0.500 0.500 Bi
0.500 0.000 0.500 Bi
0.500 0.500 0.000 Bi

HoTmP2 | the Alexandria database | PBE-GGA | relaxed; distance to the lowest polymorph of the same formula = 1 meV/atom; M_tot = 0.00 μB/cell; E = -6.578 eV/atom; energy of formation from the pure elements = -1.61 eV/atom
1.0
1.985 1.146 6.475
-1.985 1.146 6.475
0.000 -2.292 6.475
Ho Tm P
1 1 2
Direct
0.000 0.000 0.000 Ho
0.500 0.500 0.500 Tm
0.249 0.249 0.249 P
0.751 0.751 0.751 P

NaTlIn2 | the Alexandria database | PBE-GGA | relaxed; distance to the lowest polymorph of the same formula = 20 meV/atom; M_tot = 0.00 μB/cell; E = -2.344 eV/atom; energy of formation from the pure elements = -0.05 eV/atom
1.0
6.054 0.000 0.000
0.000 5.524 0.000
0.000 0.000 13.414
Na Tl In
4 4 8
Direct
0.123 0.250 0.181 Na
0.377 0.750 0.681 Na
0.623 0.250 0.319 Na
0.877 0.750 0.819 Na
0.107 0.250 0.437 Tl
0.393 0.750 0.937 Tl
0.607 0.250 0.063 Tl
0.893 0.750 0.563 Tl
0.054 0.250 0.692 In
0.061 0.250 0.930 In
0.439 0.750 0.430 In
0.446 0.750 0.192 In
0.554 0.250 0.808 In
0.561 0.250 0.570 In
0.939 0.750 0.070 In
0.946 0.750 0.308 In

Copy entry 3 word for word.
NaTlIn2 | the Alexandria database | PBE-GGA | relaxed; distance to the lowest polymorph of the same formula = 20 meV/atom; M_tot = 0.00 μB/cell; E = -2.344 eV/atom; energy of formation from the pure elements = -0.05 eV/atom
1.0
6.054 0.000 0.000
0.000 5.524 0.000
0.000 0.000 13.414
Na Tl In
4 4 8
Direct
0.123 0.250 0.181 Na
0.377 0.750 0.681 Na
0.623 0.250 0.319 Na
0.877 0.750 0.819 Na
0.107 0.250 0.437 Tl
0.393 0.750 0.937 Tl
0.607 0.250 0.063 Tl
0.893 0.750 0.563 Tl
0.054 0.250 0.692 In
0.061 0.250 0.930 In
0.439 0.750 0.430 In
0.446 0.750 0.192 In
0.554 0.250 0.808 In
0.561 0.250 0.570 In
0.939 0.750 0.070 In
0.946 0.750 0.308 In

Question: Which of these has the lowest distance to the lowest polymorph of the same formula?
Answer: BeCrBi3

Question: What is the energy of formation from the pure elements in the second record?
Answer: -1.61 eV/atom

Question: Which value of energy of formation from the pure elements does entry 2 give?
Answer: -1.61 eV/atom